1.
## Lu2Ga3Cu (SCAN)

Data for a crystal of Lu2Ga3Cu relaxed with PBEsol.

## Properties
ΔE_f: -0.688 eV per atom
crystal system: trigonal

a = 4.2643 Å, b = 4.2643 Å, c = 6.8793 Å
α = 90.00°, β = 90.00°, γ = 120.00°
Last column: nearest neighbours and their distance in Å.
Space group P3m1 (No. 156)
Asymmetric unit:
Lu 0.0000 0.0000 0.0000 (multiplicity 1)  3 Cu 2.80, 6 Ga 2.88-3.02
Lu 0.0000 0.0000 0.4707 (multiplicity 1)  6 Ga 2.88, 3 Cu 3.11
Ga 0.3333 0.6667 0.7837 (multiplicity 1)  3 Ga 2.55, 1 Cu 2.82
Ga 0.6667 0.3333 0.2536 (multiplicity 1)  3 Cu 2.50
Ga 0.6667 0.3333 0.6872 (multiplicity 1)  3 Ga 2.55
Cu 0.3333 0.6667 0.1937 (multiplicity 1)  3 Ga 2.50

***

2.
## CrSeIN2 (SCAN)

Data for a crystal of CrSeIN2 relaxed with PBEsol.

## Properties
formation energy without anion corrections: 2.9 eV/f.u.
crystal system: tetragonal

a = 3.8255 Å, b = 3.8255 Å, c = 5.4176 Å
α = 90.00°, β = 90.00°, γ = 90.00°
Last column: nearest neighbours and their distance in Å.
Space group P4/mmm (No. 123)
Asymmetric unit:
Cr 0.0000 0.0000 0.0000 (multiplicity 1)  4 N 1.91
Se 0.0000 0.0000 0.5000 (multiplicity 1)  4 I 2.71, 2 Cr 2.71
I 0.5000 0.5000 0.5000 (multiplicity 1)  4 Se 2.71
N 0.0000 0.5000 0.0000 (multiplicity 2)  2 Cr 1.91

***

3.
## BaY2F8 (SCAN)

Data for a crystal of BaY2F8 relaxed with PBEsol.

## Properties
formation energy without anion corrections: -48.4 eV/f.u.
crystal system: monoclinic
energy above the most stable polymorph in this dataset: 0 meV/atom

a = 6.9423 Å, b = 10.4398 Å, c = 4.2458 Å
α = 90.00°, β = 99.73°, γ = 90.00°
Last column: nearest neighbours and their distance in Å.
Space group C2/m (No. 12)
Asymmetric unit:
Ba 0.0000 0.0000 0.0000 (multiplicity 2)  12 F 2.71-2.91
Y 0.0000 0.3238 0.5000 (multiplicity 4)  8 F 2.23-2.31
F 0.0000 0.2592 0.0000 (multiplicity 4)  2 Y 2.23
F 0.1086 0.5000 0.7779 (multiplicity 4)  2 Y 2.25
F 0.1870 0.1397 0.5627 (multiplicity 8)  2 Y 2.27-2.31

***

4.
## Li3Ta (SCAN)

Data for a crystal of Li3Ta relaxed with PBEsol.

## Properties
ΔE_f: 0.860 eV per atom
crystal system: hexagonal
energy above the most stable polymorph in this dataset: 390 meV/atom

a = 5.6435 Å, b = 5.6435 Å, c = 4.4531 Å
α = 90.00°, β = 90.00°, γ = 120.00°
Last column: nearest neighbours and their distance in Å.
Space group P6_3/mmc (No. 194)
Asymmetric unit:
Li 0.1650 0.3300 0.2500 (multiplicity 6)  8 Li 2.75-2.85, 4 Ta 2.77-2.82
Ta 0.3333 0.6667 0.7500 (multiplicity 2)  12 Li 2.77-2.82

***

Record-wise total magnetization values, in Bohr magnetons per cell: 0.00 0.29 0.13 2.06
Record-wise DOS at the Fermi energy values, in states/eV/cell: 1.25 0.64 0.00 5.31